TiFePF2 | PBE+U | relaxed

Summary:
Total moment (Bohr magnetons per cell): 1.37
Final energy (eV/atom): -4.8312
Calculated density (Mg/m³): 3.4
SG: P4/mmm, No. 123

```
TiFePF2
1.0
3.982 0.000 0.000
0.000 3.982 0.000
0.000 0.000 5.298
Ti Fe P F
1 1 1 2
Cartesian
0.000 0.000 0.000
1.991 1.991 0.000
0.000 0.000 2.649
0.000 1.991 2.649
1.991 0.000 2.649
```